[1]
The following is a PBE-GGA calculation of Dy5ErAl4 after structural relaxation, from Alexandria via LeMat-Bulk.

Results
**Total DFT energy (no corrections)**: -45.634 eV for the cell shown
**Formation enthalpy at 0 K**: -0.31 eV per atom
**Space-group type**: P4/mmm

a b c (Å): 3.571 3.571 19.619
angles (deg): 90.00 90.00 90.00
Atoms (fractional coordinates):
Dy (0.500, 0.500, 0.126)
Dy (0.500, 0.500, 0.314)
Dy (0.500, 0.500, 0.500)
Dy (0.500, 0.500, 0.686)
Dy (0.500, 0.500, 0.874)
Er (0.000, 0.000, 0.000)
Al (0.000, 0.000, 0.220)
Al (0.000, 0.000, 0.407)
Al (0.000, 0.000, 0.593)
Al (0.000, 0.000, 0.780)



[2]
The following is a PBE-GGA calculation of TbNdTm4 after structural relaxation, from Alexandria via LeMat-Bulk.

Results
**Total DFT energy (no corrections)**: -25.569 eV for the cell shown
**Formation enthalpy at 0 K**: 0.29 eV per atom
**Space-group type**: F-43m

a b c (Å): 6.556 6.556 6.556
angles (deg): 60.00 60.00 60.00
Atoms (fractional coordinates):
Nd (0.250, 0.250, 0.250)
Tm (0.626, 0.626, 0.123)
Tm (0.626, 0.123, 0.626)
Tm (0.626, 0.626, 0.626)
Tm (0.123, 0.626, 0.626)
Tb (0.000, 0.000, 0.000)



What is the total DFT energy (no corrections) in the first record? -45.634 eV for the cell shown



What is the total DFT energy (no corrections) in the second record? -25.569 eV for the cell shown



Among the records above, which one has the lowest total DFT energy (no corrections)? Dy5ErAl4



Which of these has the highest formation enthalpy at 0 K? TbNdTm4